Density functional theory data (PBE) for an optimized crystal structure of NaCdBO3.

Results
Formation energy without anion corrections, eV per atom: -1.5273
Symmetry: P2_1/m, No. 11
Raw total energy, Ry per atom: -0.4036

```
NaCdBO3
1.0
6.467 0.000 0.000
0.000 3.018 0.000
-1.897 0.000 8.945
Na Cd B O
2 2 2 6
direct
0.174 0.250 0.203
0.826 0.750 0.797
0.363 0.750 0.866
0.637 0.250 0.134
0.065 0.250 0.591
0.935 0.750 0.409
0.094 0.250 0.741
0.135 0.750 0.521
0.375 0.750 0.116
0.625 0.250 0.884
0.865 0.250 0.479
0.906 0.750 0.259
```